{
  "formula": "AcSbMo",
  "functional": "PBE-GGA",
  "state": "optimized geometry",
  "lattice_angstrom": [[1.734, 1.500, 4.881], [-3.527, 1.685, 3.714], [-1.061, -3.074, 4.301]],
  "species": ["Sb", "Mo", "Ac"],
  "frac_coords": [[0.750, 0.750, 0.750], [0.250, 0.250, 0.250], [0.000, 0.000, 0.000]],
  "total_magnetization_mub_per_cell": 4.84,
  "relative_energy_ev_per_fu": 2.41,
  "dft_energy_ev_per_atom": -5.3152
}

---

{
  "formula": "Tm2InGaPd4",
  "functional": "PBE-GGA",
  "state": "optimized geometry",
  "lattice_angstrom": [[4.494, 0.000, 0.000], [-2.247, 3.892, 0.000], [0.000, 0.000, 8.912]],
  "species": ["Pd", "Pd", "Pd", "Pd", "Ga", "Tm", "Tm", "In"],
  "frac_coords": [[0.333, 0.667, 0.081], [0.333, 0.667, 0.410], [0.667, 0.333, 0.919], [0.667, 0.333, 0.590], [0.000, 0.000, 0.000], [0.667, 0.333, 0.245], [0.333, 0.667, 0.755], [0.000, 0.000, 0.500]],
  "total_magnetization_mub_per_cell": 0.00,
  "dft_energy_ev_per_atom": -5.2826
}

---

{
  "formula": "ZnF2",
  "functional": "PBE-GGA",
  "state": "optimized geometry",
  "lattice_angstrom": [[2.717, -1.558, 0.000], [2.717, 1.558, 0.000], [-1.874, 0.000, 3.959]],
  "species": ["F", "F", "Zn"],
  "frac_coords": [[0.751, 0.751, 0.245], [0.249, 0.249, 0.755], [0.000, 0.000, 0.000]],
  "dft_energy_ev_per_atom": -3.8798
}

---

{
  "formula": "YNiPt2",
  "functional": "PBE-GGA",
  "state": "optimized geometry",
  "lattice_angstrom": [[1.618, 3.733, 2.153], [4.450, 1.118, -0.364], [1.252, 3.700, -2.435]],
  "species": ["Pt", "Pt", "Ni", "Y"],
  "frac_coords": [[0.750, 0.750, 0.750], [0.500, 0.500, 0.500], [0.250, 0.250, 0.250], [0.000, 0.000, 0.000]],
  "total_magnetization_mub_per_cell": 0.00,
  "ef_ev_per_atom": -0.545,
  "dft_energy_ev_per_atom": -6.5811
}

---

{
  "formula": "Mg2CdPd",
  "functional": "PBE-GGA",
  "state": "optimized geometry",
  "lattice_angstrom": [[3.369, 0.000, 0.000], [0.000, 4.632, 0.000], [0.000, 0.000, 4.632]],
  "species": ["Cd", "Mg", "Mg", "Pd"],
  "frac_coords": [[0.000, 0.000, 0.747], [0.500, 0.000, 0.248], [0.500, 0.500, 0.752], [0.000, 0.500, 0.252]],
  "dft_energy_ev_per_atom": -2.7004
}

---

{
  "formula": "K3NdSi6O15",
  "functional": "PBE-GGA",
  "state": "optimized geometry",
  "lattice_angstrom": [[7.030, -6.917, 0.000], [7.030, 6.917, 0.000], [0.000, 0.000, 15.583]],
  "species": ["O", "O", "O", "O", "O", "O", "O", "O", "O", "O", "O", "O", "O", "O", "O", "O", "O", "O", "O", "O", "O", "O", "O", "O", "O", "O", "O", "O", "O", "O", "O", "O", "O", "O", "O", "O", "O", "O", "O", "O", "O", "O", "O", "O", "O", "O", "O", "O", "O", "O", "O", "O", "O", "O", "O", "O", "O", "O", "O", "O", "K", "K", "K", "K", "K", "K", "K", "K", "K", "K", "K", "K", "Si", "Si", "Si", "Si", "Si", "Si", "Si", "Si", "Si", "Si", "Si", "Si", "Si", "Si", "Si", "Si", "Si", "Si", "Si", "Si", "Si", "Si", "Si", "Si", "Nd", "Nd", "Nd", "Nd"],
  "frac_coords": [[0.855, 0.498, 0.006], [0.147, 0.586, 0.238], [0.391, 0.385, 0.011], [0.942, 0.682, 0.465], [0.298, 0.359, 0.199], [0.940, 0.701, 0.159], [0.982, 0.797, 0.639], [0.145, 0.502, 0.506], [0.853, 0.414, 0.738], [0.018, 0.203, 0.139], [0.927, 0.423, 0.416], [0.359, 0.298, 0.699], [0.299, 0.060, 0.159], [0.769, 0.999, 0.308], [0.493, 0.905, 0.080], [0.445, 0.275, 0.859], [0.498, 0.855, 0.506], [0.615, 0.609, 0.011], [0.804, 0.196, 0.424], [0.935, 0.803, 0.974], [0.641, 0.702, 0.199], [0.773, 0.227, 0.215], [0.414, 0.853, 0.238], [0.095, 0.507, 0.080], [0.923, 0.441, 0.207], [0.423, 0.927, 0.916], [0.905, 0.493, 0.580], [0.231, 0.001, 0.808], [0.555, 0.725, 0.359], [0.559, 0.077, 0.207], [0.058, 0.318, 0.965], [0.682, 0.942, 0.965], [0.803, 0.935, 0.474], [0.577, 0.073, 0.416], [0.318, 0.058, 0.465], [0.502, 0.145, 0.006], [0.065, 0.197, 0.474], [0.702, 0.641, 0.699], [0.507, 0.095, 0.580], [0.797, 0.982, 0.139], [0.725, 0.555, 0.859], [0.073, 0.577, 0.916], [0.077, 0.559, 0.707], [0.203, 0.018, 0.639], [0.197, 0.065, 0.974], [0.385, 0.391, 0.511], [0.227, 0.773, 0.715], [0.414, 0.586, 0.243], [0.586, 0.414, 0.743], [0.001, 0.231, 0.308], [0.441, 0.923, 0.707], [0.701, 0.940, 0.659], [0.609, 0.615, 0.511], [0.999, 0.769, 0.808], [0.275, 0.445, 0.359], [0.196, 0.804, 0.924], [0.653, 0.347, 0.959], [0.586, 0.147, 0.738], [0.347, 0.653, 0.459], [0.060, 0.299, 0.659], [0.129, 0.871, 0.491], [0.274, 0.165, 0.318], [0.586, 0.414, 0.158], [0.075, 0.925, 0.124], [0.871, 0.129, 0.991], [0.835, 0.726, 0.318], [0.356, 0.644, 0.027], [0.165, 0.274, 0.818], [0.726, 0.835, 0.818], [0.644, 0.356, 0.527], [0.414, 0.586, 0.658], [0.925, 0.075, 0.624], [0.022, 0.562, 0.171], [0.562, 0.022, 0.671], [0.490, 0.282, 0.757], [0.274, 0.934, 0.714], [0.293, 0.495, 0.457], [0.495, 0.293, 0.957], [0.742, 0.044, 0.409], [0.470, 0.018, 0.488], [0.282, 0.490, 0.257], [0.438, 0.978, 0.171], [0.018, 0.470, 0.988], [0.978, 0.438, 0.671], [0.505, 0.707, 0.457], [0.258, 0.956, 0.909], [0.707, 0.505, 0.957], [0.044, 0.742, 0.909], [0.982, 0.530, 0.488], [0.510, 0.718, 0.257], [0.726, 0.066, 0.214], [0.934, 0.274, 0.214], [0.718, 0.510, 0.757], [0.956, 0.258, 0.409], [0.530, 0.982, 0.988], [0.066, 0.726, 0.714], [0.775, 0.755, 0.574], [0.755, 0.775, 0.074], [0.225, 0.245, 0.074], [0.245, 0.225, 0.574]],
  "total_magnetization_mub_per_cell": 0.05,
  "relative_energy_ev_per_fu": 0.00,
  "dft_energy_ev_per_atom": -7.3471
}

---

{
  "formula": "Cu2Ag3",
  "functional": "PBE-GGA",
  "state": "optimized geometry",
  "lattice_angstrom": [[11.265, -1.423, 0.000], [11.265, 1.423, 0.000], [-0.388, 0.000, 4.863]],
  "species": ["Ag", "Ag", "Ag", "Ag", "Ag", "Ag", "Cu", "Cu", "Cu", "Cu"],
  "frac_coords": [[0.553, 0.553, 0.849], [0.447, 0.447, 0.151], [0.160, 0.160, 0.053], [0.057, 0.057, 0.356], [0.840, 0.840, 0.947], [0.943, 0.943, 0.644], [0.753, 0.753, 0.280], [0.658, 0.658, 0.553], [0.247, 0.247, 0.720], [0.342, 0.342, 0.447]],
  "relative_energy_ev_per_fu": 0.25,
  "ef_ev_per_atom": 0.082,
  "dft_energy_ev_per_atom": -3.0989
}

---

{
  "formula": "ScCdCuAu",
  "functional": "PBE-GGA",
  "state": "optimized geometry",
  "lattice_angstrom": [[0.000, 3.291, 3.291], [3.291, 0.000, 3.291], [3.291, 3.291, 0.000]],
  "species": ["Au", "Sc", "Cu", "Cd"],
  "frac_coords": [[0.000, 0.000, 0.000], [0.750, 0.750, 0.750], [0.500, 0.500, 0.500], [0.250, 0.250, 0.250]],
  "total_magnetization_mub_per_cell": 0.01,
  "relative_energy_ev_per_fu": 0.00,
  "ef_ev_per_atom": -0.402,
  "dft_energy_ev_per_atom": -3.9540
}